1.
# PBE PrBiS3, relaxed
data_PrBiS3
_cell_length_a 8.0249
_cell_length_b 4.0438
_cell_length_c 8.0536
_cell_angle_alpha 90.00
_cell_angle_beta 91.88
_cell_angle_gamma 90.00
_symmetry_space_group_name_H-M 'P 1 21/m 1'
_symmetry_Int_Tables_number 11
loop_
_symmetry_equiv_pos_as_xyz
'x,y,z'
'-x,-y,-z'
'-x,y+1/2,-z'
'x,-y+1/2,z'
loop_
_atom_site_label
_atom_site_type_symbol
_atom_site_fract_x
_atom_site_fract_y
_atom_site_fract_z
Pr1 Pr 0.1212 0.2500 0.2803
Bi1 Bi 0.3479 0.7500 0.8295
S1 S 0.1198 0.2500 0.8959
S2 S 0.1787 0.7500 0.5232
S3 S 0.3825 0.7500 0.1736
# DFT total energy   -53.88 eV for the cell shown
# Distance to the lowest polymorph of the same formula   0 meV per atom
# ΔE_f (raw)   -1.18 eV/atom
# Crystal system   monoclinic



2.
# PBE Pr6Bi2Se3S, relaxed
data_Pr6Bi2Se3S
_cell_length_a 19.1150
_cell_length_b 4.3546
_cell_length_c 8.7805
_cell_angle_alpha 90.00
_cell_angle_beta 103.05
_cell_angle_gamma 90.00
_symmetry_space_group_name_H-M 'C 1 2/m 1'
_symmetry_Int_Tables_number 12
loop_
_symmetry_equiv_pos_as_xyz
'x,y,z'
'-x,-y,-z'
'-x,y,-z'
'x,-y,z'
'x+1/2,y+1/2,z'
'-x+1/2,-y+1/2,-z'
'-x+1/2,y+1/2,-z'
'x+1/2,-y+1/2,z'
loop_
_atom_site_label
_atom_site_type_symbol
_atom_site_fract_x
_atom_site_fract_y
_atom_site_fract_z
Pr1 Pr 0.0047 0.0000 0.2728
Pr2 Pr 0.1557 0.5000 0.5663
Pr3 Pr 0.1594 0.5000 0.0974
Bi1 Bi 0.1672 0.0000 0.8364
Se1 Se 0.0000 0.5000 0.0000
Se2 Se 0.1713 0.0000 0.3384
S1 S 0.0000 0.5000 0.5000
# N(E_F)   7.81 states/eV/cell
# DFT total energy   -139.03 eV for the cell shown
# ΔE_f (raw)   -1.54 eV/atom
# Crystal system   monoclinic



3.
# PBE Pr6BiSe3S2, relaxed
data_Pr6BiSe3S2
_cell_length_a 18.6758
_cell_length_b 4.2701
_cell_length_c 8.6140
_cell_angle_alpha 90.00
_cell_angle_beta 103.62
_cell_angle_gamma 90.00
_symmetry_space_group_name_H-M 'C 1 2/m 1'
_symmetry_Int_Tables_number 12
loop_
_symmetry_equiv_pos_as_xyz
'x,y,z'
'-x,-y,-z'
'-x,y,-z'
'x,-y,z'
'x+1/2,y+1/2,z'
'-x+1/2,-y+1/2,-z'
'-x+1/2,y+1/2,-z'
'x+1/2,-y+1/2,z'
loop_
_atom_site_label
_atom_site_type_symbol
_atom_site_fract_x
_atom_site_fract_y
_atom_site_fract_z
Pr1 Pr 0.0090 0.0000 0.2695
Pr2 Pr 0.1714 0.5000 0.5742
Pr3 Pr 0.1742 0.5000 0.1062
Bi1 Bi 0.0000 0.5000 0.0000
Se1 Se 0.0000 0.5000 0.5000
Se2 Se 0.1614 0.0000 0.8338
S1 S 0.1691 0.0000 0.3378
# N(E_F)   10.19 states/eV/cell
# DFT total energy   -143.77 eV for the cell shown
# ΔE_f (raw)   -1.72 eV/atom
# Crystal system   monoclinic



4.
# PBE Pr4BiSe2S, relaxed
data_Pr4BiSe2S
_cell_length_a 8.6524
_cell_length_b 8.6784
_cell_length_c 12.2637
_cell_angle_alpha 90.00
_cell_angle_beta 90.00
_cell_angle_gamma 90.00
_symmetry_space_group_name_H-M 'I m m a'
_symmetry_Int_Tables_number 74
_symmetry_space_group_name_Hall '-I 2b 2'
loop_
_atom_site_label
_atom_site_type_symbol
_atom_site_fract_x
_atom_site_fract_y
_atom_site_fract_z
Pr1 Pr 0.0000 0.0133 0.2424
Pr2 Pr 0.2337 0.2500 0.0079
Bi1 Bi 0.0000 0.0000 0.5000
Se1 Se 0.0000 0.0000 0.0000
Se2 Se 0.2500 0.2500 0.7500
S1 S 0.2500 0.2500 0.2500
# N(E_F)   14.31 states/eV/cell
# DFT total energy   -188.21 eV for the cell shown
# ΔE_f (raw)   -1.62 eV/atom
# Crystal system   orthorhombic



5.
# PBE Pr4BiSeS2, relaxed
data_Pr4BiSeS2
_cell_length_a 7.3763
_cell_length_b 4.2601
_cell_length_c 7.5058
_cell_angle_alpha 90.00
_cell_angle_beta 109.10
_cell_angle_gamma 90.00
_symmetry_space_group_name_H-M 'P 1 2/m 1'
_symmetry_Int_Tables_number 10
loop_
_symmetry_equiv_pos_as_xyz
'x,y,z'
'-x,-y,-z'
'-x,y,-z'
'x,-y,z'
loop_
_atom_site_label
_atom_site_type_symbol
_atom_site_fract_x
_atom_site_fract_y
_atom_site_fract_z
Pr1 Pr 0.2308 0.0000 0.2188
Pr2 Pr 0.2508 0.5000 0.7745
Bi1 Bi 0.5000 0.5000 0.5000
Se1 Se 0.0000 0.0000 0.5000
S1 S 0.0000 0.5000 0.0000
S2 S 0.5000 0.0000 0.0000
# N(E_F)   3.04 states/eV/cell
# DFT total energy   -48.12 eV for the cell shown
# ΔE_f (raw)   -1.67 eV/atom
# Crystal system   monoclinic



6.
# PBE PrBiTe2S, relaxed
data_PrBiTe2S
_cell_length_a 4.5468
_cell_length_b 4.5468
_cell_length_c 15.9846
_cell_angle_alpha 90.00
_cell_angle_beta 90.00
_cell_angle_gamma 90.00
_symmetry_space_group_name_H-M 'P 4/n m m'
_symmetry_Int_Tables_number 129
loop_
_symmetry_equiv_pos_as_xyz
'x,y,z'
'-x,-y,-z'
'-y+1/2,x,z'
'y+1/2,-x,-z'
'-x+1/2,-y+1/2,z'
'x+1/2,y+1/2,-z'
'y,-x+1/2,z'
'-y,x+1/2,-z'
'x+1/2,-y,-z'
'-x+1/2,y,z'
'-y,-x,-z'
'y,x,z'
'-x,y+1/2,-z'
'x,-y+1/2,z'
'y+1/2,x+1/2,-z'
'-y+1/2,-x+1/2,z'
loop_
_atom_site_label
_atom_site_type_symbol
_atom_site_fract_x
_atom_site_fract_y
_atom_site_fract_z
Pr1 Pr 0.2500 0.2500 0.1015
Bi1 Bi 0.2500 0.2500 0.6249
Te1 Te 0.2500 0.2500 0.4023
Te2 Te 0.2500 0.2500 0.8074
S1 S 0.2500 0.7500 0.0000
# N(E_F)   3.67 states/eV/cell
# DFT total energy   -47.47 eV for the cell shown
# ΔE_f (raw)   -0.93 eV/atom
# Crystal system   tetragonal



7.
# PBE Pr6Bi2Te3S, relaxed
data_Pr6Bi2Te3S
_cell_length_a 19.7779
_cell_length_b 4.4740
_cell_length_c 9.0590
_cell_angle_alpha 90.00
_cell_angle_beta 103.59
_cell_angle_gamma 90.00
_symmetry_space_group_name_H-M 'C 1 2/m 1'
_symmetry_Int_Tables_number 12
loop_
_symmetry_equiv_pos_as_xyz
'x,y,z'
'-x,-y,-z'
'-x,y,-z'
'x,-y,z'
'x+1/2,y+1/2,z'
'-x+1/2,-y+1/2,-z'
'-x+1/2,y+1/2,-z'
'x+1/2,-y+1/2,z'
loop_
_atom_site_label
_atom_site_type_symbol
_atom_site_fract_x
_atom_site_fract_y
_atom_site_fract_z
Pr1 Pr 0.0022 0.0000 0.2853
Pr2 Pr 0.1485 0.5000 0.5739
Pr3 Pr 0.1648 0.5000 0.0838
Bi1 Bi 0.1661 0.0000 0.8330
Te1 Te 0.0000 0.5000 0.0000
Te2 Te 0.1726 0.0000 0.3389
S1 S 0.0000 0.5000 0.5000
# N(E_F)   6.18 states/eV/cell
# DFT total energy   -132.92 eV for the cell shown
# ΔE_f (raw)   -1.37 eV/atom
# Crystal system   monoclinic



8.
# PBE Pr2Tl3BiS6, relaxed
data_Pr2Tl3BiS6
_cell_length_a 7.2668
_cell_length_b 12.5878
_cell_length_c 7.8593
_cell_angle_alpha 90.00
_cell_angle_beta 107.97
_cell_angle_gamma 90.00
_symmetry_space_group_name_H-M 'C 1 2/m 1'
_symmetry_Int_Tables_number 12
loop_
_symmetry_equiv_pos_as_xyz
'x,y,z'
'-x,-y,-z'
'-x,y,-z'
'x,-y,z'
'x+1/2,y+1/2,z'
'-x+1/2,-y+1/2,-z'
'-x+1/2,y+1/2,-z'
'x+1/2,-y+1/2,z'
loop_
_atom_site_label
_atom_site_type_symbol
_atom_site_fract_x
_atom_site_fract_y
_atom_site_fract_z
Pr1 Pr 0.0000 0.1667 0.0000
Tl1 Tl 0.0000 0.0000 0.5000
Tl2 Tl 0.0000 0.3323 0.5000
Bi1 Bi 0.0000 0.5000 0.0000
S1 S 0.2345 0.3343 0.2062
S2 S 0.2380 0.0000 0.2082
# DFT total energy   -117.05 eV for the cell shown
# ΔE_f (raw)   -1.10 eV/atom
# Crystal system   monoclinic



9.
# PBE Pr4Bi2Sb, relaxed
data_Pr4Bi2Sb
_cell_length_a 9.6900
_cell_length_b 9.6900
_cell_length_c 9.7390
_cell_angle_alpha 90.00
_cell_angle_beta 90.00
_cell_angle_gamma 90.00
_symmetry_space_group_name_H-M 'I -4 2 d'
_symmetry_Int_Tables_number 122
_symmetry_space_group_name_Hall 'I -4 2bw'
loop_
_atom_site_label
_atom_site_type_symbol
_atom_site_fract_x
_atom_site_fract_y
_atom_site_fract_z
Pr1 Pr 0.0704 0.1826 0.3004
Bi1 Bi 0.1216 0.2500 0.6250
Sb1 Sb 0.0000 0.0000 0.0000
# N(E_F)   30.33 states/eV/cell
# DFT total energy   -149.73 eV for the cell shown
# Distance to the lowest polymorph of the same formula   0 meV per atom
# ΔE_f (raw)   -0.92 eV/atom
# Crystal system   tetragonal



10.
# PBE PrBiSb, relaxed
data_PrBiSb
_cell_length_a 5.5812
_cell_length_b 5.5812
_cell_length_c 3.3895
_cell_angle_alpha 90.00
_cell_angle_beta 90.00
_cell_angle_gamma 120.00
_symmetry_space_group_name_H-M 'P 3 m 1'
_symmetry_Int_Tables_number 156
loop_
_symmetry_equiv_pos_as_xyz
'x,y,z'
'-y,x-y,z'
'-x+y,-x,z'
'-y,-x,z'
'-x+y,y,z'
'x,x-y,z'
loop_
_atom_site_label
_atom_site_type_symbol
_atom_site_fract_x
_atom_site_fract_y
_atom_site_fract_z
Pr1 Pr 0.0000 0.0000 0.0000
Bi1 Bi 0.3333 0.6667 0.4992
Sb1 Sb 0.6667 0.3333 0.5030
# N(E_F)   3.13 states/eV/cell
# DFT total energy   -14.08 eV for the cell shown
# Distance to the lowest polymorph of the same formula   293 meV per atom
# ΔE_f (raw)   -0.43 eV/atom
# Crystal system   trigonal



11.
# PBE Pr6BiSb3, relaxed
data_Pr6BiSb3
_cell_length_a 11.5800
_cell_length_b 15.3908
_cell_length_c 8.0107
_cell_angle_alpha 90.00
_cell_angle_beta 90.00
_cell_angle_gamma 90.00
_symmetry_space_group_name_H-M 'C m c 21'
_symmetry_Int_Tables_number 36
loop_
_symmetry_equiv_pos_as_xyz
'x,y,z'
'-x,-y,z+1/2'
'-x,y,z'
'x,-y,z+1/2'
'x+1/2,y+1/2,z'
'-x+1/2,-y+1/2,z+1/2'
'-x+1/2,y+1/2,z'
'x+1/2,-y+1/2,z+1/2'
loop_
_atom_site_label
_atom_site_type_symbol
_atom_site_fract_x
_atom_site_fract_y
_atom_site_fract_z
Pr1 Pr 0.0000 0.0014 0.0000
Pr2 Pr 0.0000 0.2499 0.6277
Pr3 Pr 0.1740 0.4550 0.5973
Pr4 Pr 0.1852 0.2743 0.0109
Bi1 Bi 0.0000 0.1701 0.2571
Sb1 Sb 0.0000 0.4172 0.9000
Sb2 Sb 0.1812 0.1036 0.7698
# N(E_F)   35.06 states/eV/cell
# DFT total energy   -210.89 eV for the cell shown
# ΔE_f (raw)   -0.78 eV/atom
# Crystal system   orthorhombic



12.
# PBE PrBi2Sb, relaxed
data_PrBi2Sb
_cell_length_a 4.8297
_cell_length_b 4.8297
_cell_length_c 5.2401
_cell_angle_alpha 90.00
_cell_angle_beta 90.00
_cell_angle_gamma 90.00
_symmetry_space_group_name_H-M 'P 4/m m m'
_symmetry_Int_Tables_number 123
_symmetry_space_group_name_Hall '-P 4 2'
loop_
_atom_site_label
_atom_site_type_symbol
_atom_site_fract_x
_atom_site_fract_y
_atom_site_fract_z
Pr1 Pr 0.0000 0.0000 0.0000
Bi1 Bi 0.0000 0.5000 0.5000
Sb1 Sb 0.5000 0.5000 0.0000
# N(E_F)   2.32 states/eV/cell
# DFT total energy   -18.55 eV for the cell shown
# Distance to the lowest polymorph of the same formula   0 meV per atom
# ΔE_f (raw)   -0.47 eV/atom
# Crystal system   tetragonal



13.
# PBE PrBiSb, relaxed
data_PrBiSb
_cell_length_a 11.1985
_cell_length_b 4.3014
_cell_length_c 8.1027
_cell_angle_alpha 90.00
_cell_angle_beta 91.65
_cell_angle_gamma 90.00
_symmetry_space_group_name_H-M 'C 1 2/m 1'
_symmetry_Int_Tables_number 12
loop_
_symmetry_equiv_pos_as_xyz
'x,y,z'
'-x,-y,-z'
'-x,y,-z'
'x,-y,z'
'x+1/2,y+1/2,z'
'-x+1/2,-y+1/2,-z'
'-x+1/2,y+1/2,-z'
'x+1/2,-y+1/2,z'
loop_
_atom_site_label
_atom_site_type_symbol
_atom_site_fract_x
_atom_site_fract_y
_atom_site_fract_z
Pr1 Pr 0.0794 0.0000 0.2461
Bi1 Bi 0.1268 0.5000 0.9151
Sb1 Sb 0.2078 0.0000 0.6214
# N(E_F)   6.36 states/eV/cell
# DFT total energy   -58.36 eV for the cell shown
# Distance to the lowest polymorph of the same formula   122 meV per atom
# ΔE_f (raw)   -0.60 eV/atom
# Crystal system   monoclinic



14.
# PBE Pr8BiSb5, relaxed
data_Pr8BiSb5
_cell_length_a 9.6231
_cell_length_b 9.6231
_cell_length_c 9.6081
_cell_angle_alpha 90.00
_cell_angle_beta 90.00
_cell_angle_gamma 90.00
_symmetry_space_group_name_H-M 'I -4'
_symmetry_Int_Tables_number 82
loop_
_symmetry_equiv_pos_as_xyz
'x,y,z'
'y,-x,-z'
'-x,-y,z'
'-y,x,-z'
'x+1/2,y+1/2,z+1/2'
'y+1/2,-x+1/2,-z+1/2'
'-x+1/2,-y+1/2,z+1/2'
'-y+1/2,x+1/2,-z+1/2'
loop_
_atom_site_label
_atom_site_type_symbol
_atom_site_fract_x
_atom_site_fract_y
_atom_site_fract_z
Pr1 Pr 0.0701 0.3248 0.4448
Pr2 Pr 0.0713 0.1812 0.8073
Bi1 Bi 0.0000 0.0000 0.5000
Sb1 Sb 0.0000 0.5000 0.7500
Sb2 Sb 0.1261 0.2490 0.1265
# N(E_F)   29.01 states/eV/cell
# DFT total energy   -154.30 eV for the cell shown
# ΔE_f (raw)   -1.03 eV/atom
# Crystal system   tetragonal



15.
# PBE Pr5BiSb4, relaxed
data_Pr5BiSb4
_cell_length_a 4.5775
_cell_length_b 6.4638
_cell_length_c 22.8611
_cell_angle_alpha 90.00
_cell_angle_beta 90.00
_cell_angle_gamma 90.00
_symmetry_space_group_name_H-M 'I m m m'
_symmetry_Int_Tables_number 71
_symmetry_space_group_name_Hall '-I 2 2'
loop_
_atom_site_label
_atom_site_type_symbol
_atom_site_fract_x
_atom_site_fract_y
_atom_site_fract_z
Pr1 Pr 0.0000 0.0000 0.0000
Pr2 Pr 0.0000 0.0000 0.1996
Pr3 Pr 0.0000 0.0000 0.3977
Bi1 Bi 0.0000 0.5000 0.0000
Sb1 Sb 0.0000 0.5000 0.2009
Sb2 Sb 0.0000 0.5000 0.4000
# N(E_F)   3.87 states/eV/cell
# DFT total energy   -111.46 eV for the cell shown
# ΔE_f (raw)   -1.15 eV/atom
# Crystal system   orthorhombic



16.
# PBE PrBiSb, relaxed
data_PrBiSb
_cell_length_a 7.6235
_cell_length_b 4.4382
_cell_length_c 11.0812
_cell_angle_alpha 90.00
_cell_angle_beta 90.00
_cell_angle_gamma 90.00
_symmetry_space_group_name_H-M 'P n m a'
_symmetry_Int_Tables_number 62
loop_
_symmetry_equiv_pos_as_xyz
'x,y,z'
'-x,-y,-z'
'-x+1/2,-y,z+1/2'
'x+1/2,y,-z+1/2'
'x+1/2,-y+1/2,-z+1/2'
'-x+1/2,y+1/2,z+1/2'
'-x,y+1/2,-z'
'x,-y+1/2,z'
loop_
_atom_site_label
_atom_site_type_symbol
_atom_site_fract_x
_atom_site_fract_y
_atom_site_fract_z
Pr1 Pr 0.1815 0.2500 0.1363
Bi1 Bi 0.1312 0.2500 0.4395
Sb1 Sb 0.1228 0.2500 0.8121
# N(E_F)   7.93 states/eV/cell
# DFT total energy   -59.82 eV for the cell shown
# Distance to the lowest polymorph of the same formula   0 meV per atom
# ΔE_f (raw)   -0.72 eV/atom
# Crystal system   orthorhombic



17.
# PBE PrBiSb, relaxed
data_PrBiSb
_cell_length_a 4.5800
_cell_length_b 17.4461
_cell_length_c 4.5782
_cell_angle_alpha 90.00
_cell_angle_beta 90.00
_cell_angle_gamma 90.00
_symmetry_space_group_name_H-M 'C m c m'
_symmetry_Int_Tables_number 63
_symmetry_space_group_name_Hall '-C 2c 2'
loop_
_atom_site_label
_atom_site_type_symbol
_atom_site_fract_x
_atom_site_fract_y
_atom_site_fract_z
Pr1 Pr 0.0000 0.1073 0.2500
Bi1 Bi 0.0000 0.4304 0.2500
Sb1 Sb 0.0000 0.2498 0.7500
# N(E_F)   3.74 states/eV/cell
# DFT total energy   -59.63 eV for the cell shown
# Distance to the lowest polymorph of the same formula   16 meV per atom
# ΔE_f (raw)   -0.71 eV/atom
# Crystal system   orthorhombic



18.
# PBE Pr4Bi3Sb, relaxed
data_Pr4Bi3Sb
_cell_length_a 6.5305
_cell_length_b 6.5305
_cell_length_c 6.5305
_cell_angle_alpha 90.00
_cell_angle_beta 90.00
_cell_angle_gamma 90.00
_symmetry_space_group_name_H-M 'P m -3 m'
_symmetry_Int_Tables_number 221
_symmetry_space_group_name_Hall '-P 4 2 3'
loop_
_atom_site_label
_atom_site_type_symbol
_atom_site_fract_x
_atom_site_fract_y
_atom_site_fract_z
Pr1 Pr 0.0000 0.0000 0.0000
Pr2 Pr 0.0000 0.5000 0.5000
Bi1 Bi 0.0000 0.0000 0.5000
Sb1 Sb 0.5000 0.5000 0.5000
# N(E_F)   0.66 states/eV/cell
# DFT total energy   -43.06 eV for the cell shown
# ΔE_f (raw)   -1.02 eV/atom
# Crystal system   cubic



19.
# PBE Pr4Bi2Sb, relaxed
data_Pr4Bi2Sb
_cell_length_a 4.5265
_cell_length_b 15.0147
_cell_length_c 14.9140
_cell_angle_alpha 90.00
_cell_angle_beta 90.00
_cell_angle_gamma 90.00
_symmetry_space_group_name_H-M 'C m c m'
_symmetry_Int_Tables_number 63
_symmetry_space_group_name_Hall '-C 2c 2'
loop_
_atom_site_label
_atom_site_type_symbol
_atom_site_fract_x
_atom_site_fract_y
_atom_site_fract_z
Pr1 Pr 0.0000 0.0000 0.0000
Pr2 Pr 0.0000 0.2782 0.1284
Pr3 Pr 0.0000 0.4598 0.7500
Bi1 Bi 0.0000 0.3602 0.5649
Sb1 Sb 0.0000 0.1067 0.7500
# N(E_F)   23.75 states/eV/cell
# DFT total energy   -145.82 eV for the cell shown
# Distance to the lowest polymorph of the same formula   140 meV per atom
# ΔE_f (raw)   -0.78 eV/atom
# Crystal system   orthorhombic



20.
# PBE Pr5Bi2Sb2, relaxed
data_Pr5Bi2Sb2
_cell_length_a 16.1385
_cell_length_b 8.4892
_cell_length_c 8.5949
_cell_angle_alpha 90.00
_cell_angle_beta 90.00
_cell_angle_gamma 90.00
_symmetry_space_group_name_H-M 'C m c e'
_symmetry_Int_Tables_number 64
_symmetry_space_group_name_Hall '-C 2ac 2'
loop_
_atom_site_label
_atom_site_type_symbol
_atom_site_fract_x
_atom_site_fract_y
_atom_site_fract_z
Pr1 Pr 0.0000 0.0000 0.0000
Pr2 Pr 0.1404 0.1640 0.3402
Bi1 Bi 0.0000 0.1404 0.6407
Sb1 Sb 0.1988 0.0000 0.0000
# N(E_F)   33.87 states/eV/cell
# DFT total energy   -194.30 eV for the cell shown
# Distance to the lowest polymorph of the same formula   12 meV per atom
# ΔE_f (raw)   -0.96 eV/atom
# Crystal system   orthorhombic